SrZrMn: single point on PBEsol structure, SCAN.

Results
energy above the most stable polymorph in this dataset = 0.0 meV per atom
space-group type = I4mm (107)
DFT formation energy = 304.0 meV per atom

Structure (POSCAR):
```
SrZrMn
1.0
3.4612 0.0000 0.0000
0.0000 3.4612 0.0000
-1.7306 -1.7306 6.0472
Mn Zr Sr
1 1 1
Cartesian
1.7306 1.7306 5.6017 Mn
0.0000 0.0000 4.6171 Zr
1.7306 1.7306 1.8756 Sr
```

Mo2PAu: single point on PBEsol structure, SCAN.

Results
space-group type = C2/m (12)
DFT formation energy = 341.1 meV per atom

Structure (POSCAR):
```
Mo2PAu
1.0
2.7956 0.0078 0.0125
-0.6565 4.8779 0.0187
-0.6565 -2.1261 4.3902
Au Mo P
1 2 1
Cartesian
0.7413 1.3798 2.2107 Au
-0.3282 -1.0630 2.1951 Mo
-0.3282 2.4389 0.0094 Mo
1.3978 0.0039 0.0062 P
```

BiSb2TeI: single point on PBEsol structure, SCAN.

Results
space-group type = P4/mmm (123)
energy relative to the elements, uncorrected = 3.8 eV/f.u.

Structure (POSCAR):
```
BiSb2TeI
1.0
-4.7740 2.8240 0.9892
-1.9837 -1.5626 -5.1125
-2.2882 -4.6802 2.3183
Sb Bi Te I
2 1 1 1
Cartesian
-0.9918 -0.7813 -2.5563 Sb
-1.1441 -2.3401 1.1591 Sb
-4.5229 -1.7094 -0.9025 Bi
0.0000 0.0000 0.0000 Te
-2.3870 1.4120 0.4946 I
```

AlCr2Se: single point on PBEsol structure, SCAN.

Results
energy above the most stable polymorph in this dataset = 0.0 meV per atom
space-group type = I-42d (122)
energy relative to the elements, uncorrected = 1.1 eV/f.u.

Structure (POSCAR):
```
AlCr2Se
1.0
-2.6984 2.2627 4.2574
4.6199 -2.9058 0.8605
1.6405 4.3166 -3.0335
Al Cr Se
2 4 2
Cartesian
-0.0486 3.1289 1.8914 Al
0.9607 -0.3215 2.5589 Al
1.5783 1.6838 0.3590 Cr
2.7721 -1.4832 0.9929 Cr
0.3094 5.3176 -0.1880 Cr
2.4640 1.8290 3.0048 Cr
3.6105 0.5447 0.1929 Se
0.0000 0.0000 0.0000 Se
```

LuMn2: single point on PBEsol structure, SCAN.

Results
space-group type = P6_3/mmc (194)
DFT formation energy = -56.7 meV per atom

Structure (POSCAR):
```
LuMn2
1.0
-0.7368 4.0655 -2.7137
-3.3956 -1.4172 3.3010
3.6631 4.4559 5.6810
Mn Lu
8 4
Cartesian
-0.2719 4.2498 -0.2736 Mn
-0.5595 4.8518 5.2087 Mn
1.4709 3.5507 4.9201 Mn
-0.1974 2.8544 6.5419 Mn
-1.9402 3.5535 1.3483 Mn
0.0901 2.2524 1.0597 Mn
1.8315 2.2280 2.8405 Mn
0.0000 0.0000 0.0000 Mn
-2.2800 0.6894 1.6518 Lu
0.4378 4.7449 2.4874 Lu
-0.9071 2.3593 3.7810 Lu
1.8107 6.4149 4.6166 Lu
```

ScCd3: single point on PBEsol structure, SCAN.

Results
space-group type = P2/m (10)
DFT formation energy = -211.8 meV per atom

Structure (POSCAR):
```
ScCd3
1.0
3.0700 0.0000 0.0448
0.0000 4.6858 0.0000
-1.1914 0.0000 5.7885
Cd Sc
3 1
Cartesian
1.0162 0.0000 4.3546 Cd
0.8624 0.0000 1.4787 Cd
1.5350 2.3429 0.0224 Cd
-0.5957 2.3429 2.8943 Sc
```

no.,magnetization (μB per formula unit)
1,1.87
2,0.00
3,0.00
4,6.66
5,1.85
6,0.36